# TlSi2Cl

A relaxed TlSi2Cl crystal (GGA-PBE, the Alexandria database).

Lattice parameters (Å, degrees): 3.899 3.899 6.958 90.00 90.00 90.00
Atoms (fractional coordinates):
Tl: 0.000 0.000 0.000
Si: 0.000 0.500 0.500
Si: 0.500 0.000 0.500
Cl: 0.500 0.500 0.000

Values from the calculation:
M_tot: 0.000 Bohr magnetons per cell
ΔE to the lowest computed polymorph: 523 meV/atom
uncorrected formation energy: 0.4162 eV/atom